# 1
# FeP2Au | Alexandria | SCAN | single point on PBEsol structure
# Total magnetization (μB per formula unit): 2.8
# Crystal system: orthorhombic
# Energy (eV per atom): -26.729
data_FeP2Au
_chemical_formula_sum 'Fe4 P8 Au4'
_cell_length_a 5.2202
_cell_length_b 5.4596
_cell_length_c 8.1908
_cell_angle_alpha 90.00
_cell_angle_beta 90.00
_cell_angle_gamma 90.00
_space_group_name_H-M_alt 'F m m m'
_space_group_IT_number 69
_space_group_name_Hall '-F 2 2'
loop_
_atom_site_label
_atom_site_fract_x
_atom_site_fract_y
_atom_site_fract_z
Fe1 0.0000 0.0000 0.0000
P1 0.0000 0.2500 0.2500
Au1 0.0000 0.0000 0.5000


# 2
# FePb2Au | Alexandria | SCAN | single point on PBEsol structure
# Total magnetization (μB per formula unit): 3.1
# Crystal system: orthorhombic
# Energy (eV per atom): -59.352
data_FePb2Au
_chemical_formula_sum 'Fe2 Pb4 Au2'
_cell_length_a 7.0392
_cell_length_b 7.0552
_cell_length_c 3.3768
_cell_angle_alpha 90.00
_cell_angle_beta 90.00
_cell_angle_gamma 90.00
_space_group_name_H-M_alt 'C m m m'
_space_group_IT_number 65
_space_group_name_Hall '-C 2 2'
loop_
_atom_site_label
_atom_site_fract_x
_atom_site_fract_y
_atom_site_fract_z
Fe1 0.0000 0.0000 0.0000
Pb1 0.2500 0.2500 0.5000
Au1 0.0000 0.5000 0.0000


Q: Which formula does entry 2 have?
A: FePb2Au


Q: Look up the total magnetization of the first one.
A: 2.8 μB per formula unit


Q: Which value of energy does entry 2 give?
A: -59.352 eV per atom


Copy entry 1 word for word.
# FeP2Au | Alexandria | SCAN | single point on PBEsol structure
# Total magnetization (μB per formula unit): 2.8
# Crystal system: orthorhombic
# Energy (eV per atom): -26.729
data_FeP2Au
_chemical_formula_sum 'Fe4 P8 Au4'
_cell_length_a 5.2202
_cell_length_b 5.4596
_cell_length_c 8.1908
_cell_angle_alpha 90.00
_cell_angle_beta 90.00
_cell_angle_gamma 90.00
_space_group_name_H-M_alt 'F m m m'
_space_group_IT_number 69
_space_group_name_Hall '-F 2 2'
loop_
_atom_site_label
_atom_site_fract_x
_atom_site_fract_y
_atom_site_fract_z
Fe1 0.0000 0.0000 0.0000
P1 0.0000 0.2500 0.2500
Au1 0.0000 0.0000 0.5000